No. 1
Compound: PPt2Rh
Source: Alexandria
Functional: PBE-GGA
Structure: optimized geometry

Calculated values
Density of states at the Fermi level   5.9 states/eV per cell
Calculated density   14.74 g cm⁻³
Formation energy   0.55 kcal/mol of atoms

a = 2.945 Å, b = 2.945 Å, c = 6.805 Å
α = 90.00°, β = 90.00°, γ = 90.00°
Space group P4/mmm (No. 123)
Symmetry-distinct sites (fractional):
1 P 0.000 0.000 0.000 [1 per cell]
2 Pt 0.500 0.500 0.224 [2 per cell]
3 Rh 0.000 0.000 0.500 [1 per cell]

No. 2
Compound: PPt2Rh
Source: Alexandria
Functional: PBE-GGA
Structure: optimized geometry

Calculated values
Density of states at the Fermi level   2.8 states/eV per cell
Calculated density   14.51 g cm⁻³
Formation energy   -0.31 kcal/mol of atoms

a = 5.225 Å, b = 6.915 Å, c = 3.319 Å
α = 90.00°, β = 90.00°, γ = 90.00°
Space group Cmmm (No. 65)
Symmetry-distinct sites (fractional):
1 P 0.000 0.000 0.000 [2 per cell]
2 Pt 0.250 0.250 0.500 [4 per cell]
3 Rh 0.000 0.500 0.000 [2 per cell]

No. 3
Compound: PPt2Rh2
Source: Alexandria
Functional: PBE-GGA
Structure: optimized geometry

Calculated values
Density of states at the Fermi level   10.9 states/eV per cell
Calculated density   13.43 g cm⁻³
Formation energy   -0.34 kcal/mol of atoms

a = 5.957 Å, b = 5.957 Å, c = 4.368 Å
α = 90.00°, β = 90.00°, γ = 90.00°
Space group P4/mbm (No. 127)
Symmetry-distinct sites (fractional):
1 P 0.000 0.000 0.000 [2 per cell]
2 Pt 0.162 0.338 0.500 [4 per cell]
3 Rh 0.155 0.655 0.000 [4 per cell]

No. 4
Compound: P2PtRh
Source: Alexandria
Functional: PBE-GGA
Structure: optimized geometry

Calculated values
Energy relative to the lowest polymorph listed for this composition   78.2 kJ/mol of atoms
Density of states at the Fermi level   14.3 states/eV per cell
Calculated density   10.15 g cm⁻³
Formation energy   8.32 kcal/mol of atoms

a = 6.176 Å, b = 6.176 Å, c = 6.176 Å
α = 90.00°, β = 90.00°, γ = 90.00°
Space group F-43m (No. 216)
Symmetry-distinct sites (fractional):
1 P 0.000 0.000 0.000 [4 per cell]
2 P 0.250 0.250 0.250 [4 per cell]
3 Pt 0.250 0.250 0.750 [4 per cell]
4 Rh 0.000 0.000 0.500 [4 per cell]

No. 5
Compound: P2PtRh
Source: Alexandria
Functional: PBE-GGA
Structure: optimized geometry

Calculated values
Energy relative to the lowest polymorph listed for this composition   27.9 kJ/mol of atoms
Density of states at the Fermi level   8.0 states/eV per cell
Calculated density   10.28 g cm⁻³
Formation energy   -3.70 kcal/mol of atoms

a = 3.0766 Å, b = 3.0766 Å, c = 21.2749 Å
α = 90.00°, β = 90.00°, γ = 120.00°
Space group R-3m (No. 166, hexagonal axes)
Symmetry-distinct sites (fractional):
1 P 0.0000 0.0000 0.2492 [6 per cell]
2 Pt 0.0000 0.0000 0.0000 [3 per cell]
3 Rh 0.0000 0.0000 0.5000 [3 per cell]

No. 6
Compound: P2PtRh
Source: Alexandria
Functional: PBE-GGA
Structure: optimized geometry

Calculated values
Energy relative to the lowest polymorph listed for this composition   11.9 kJ/mol of atoms
Density of states at the Fermi level   1.3 states/eV per cell
Calculated density   10.19 g cm⁻³
Formation energy   -7.53 kcal/mol of atoms

a = 3.426 Å, b = 3.426 Å, c = 4.997 Å
α = 90.00°, β = 90.00°, γ = 90.00°
Space group P4mm (No. 99)
Symmetry-distinct sites (fractional):
1 P 0.000 0.000 0.000 [1 per cell]
2 P 0.500 0.500 0.384 [1 per cell]
3 Pt 0.000 0.000 0.518 [1 per cell]
4 Rh 0.500 0.500 0.867 [1 per cell]

No. 7
Compound: PPt2Rh
Source: Alexandria
Functional: PBE-GGA
Structure: optimized geometry

Calculated values
Density of states at the Fermi level   6.4 states/eV per cell
Calculated density   14.71 g cm⁻³
Formation energy   -4.38 kcal/mol of atoms

a = 2.919 Å, b = 4.491 Å, c = 9.024 Å
α = 90.00°, β = 90.00°, γ = 90.00°
Space group Imm2 (No. 44)
Symmetry-distinct sites (fractional):
1 P 0.000 0.000 0.000 [2 per cell]
2 Pt 0.000 0.000 0.499 [2 per cell]
3 Pt 0.000 0.500 0.296 [2 per cell]
4 Rh 0.000 0.500 0.695 [2 per cell]

No. 8
Compound: PPtRh
Source: Alexandria
Functional: PBE-GGA
Structure: optimized geometry

Calculated values
Density of states at the Fermi level   9.5 states/eV per cell
Calculated density   10.80 g cm⁻³
Formation energy   3.13 kcal/mol of atoms

a = 5.871 Å, b = 5.871 Å, c = 5.871 Å
α = 90.00°, β = 90.00°, γ = 90.00°
Space group F-43m (No. 216)
Symmetry-distinct sites (fractional):
1 P 0.000 0.000 0.000 [4 per cell]
2 Pt 0.000 0.000 0.500 [4 per cell]
3 Rh 0.250 0.250 0.750 [4 per cell]

No. 9
Compound: PPtRh
Source: Alexandria
Functional: PBE-GGA
Structure: optimized geometry

Calculated values
Density of states at the Fermi level   1.8 states/eV per cell
Calculated density   12.48 g cm⁻³
Formation energy   -5.26 kcal/mol of atoms

a = 2.9665 Å, b = 2.9665 Å, c = 5.7416 Å
α = 90.00°, β = 90.00°, γ = 120.00°
Space group P3m1 (No. 156)
Symmetry-distinct sites (fractional):
1 P 0.0000 0.0000 0.0000 [1 per cell]
2 Pt 0.3333 0.6667 0.3086 [1 per cell]
3 Rh 0.6667 0.3333 0.7206 [1 per cell]

No. 10
Compound: P2PtRh
Source: Alexandria
Functional: PBE-GGA
Structure: optimized geometry

Calculated values
Energy relative to the lowest polymorph listed for this composition   28.6 kJ/mol of atoms
Density of states at the Fermi level   6.1 states/eV per cell
Calculated density   10.40 g cm⁻³
Formation energy   -3.53 kcal/mol of atoms

a = 7.519 Å, b = 3.056 Å, c = 5.149 Å
α = 90.00°, β = 103.68°, γ = 90.00°
Space group C2/m (No. 12)
Symmetry-distinct sites (fractional):
1 P 0.247 0.000 0.241 [4 per cell]
2 Pt 0.000 0.000 0.500 [2 per cell]
3 Rh 0.000 0.500 0.000 [2 per cell]

No. 11
Compound: PPt2Rh
Source: Alexandria
Functional: PBE-GGA
Structure: optimized geometry

Calculated values
Density of states at the Fermi level   2.7 states/eV per cell
Calculated density   14.97 g cm⁻³
Formation energy   -3.48 kcal/mol of atoms

a = 2.887 Å, b = 2.887 Å, c = 6.973 Å
α = 90.00°, β = 90.00°, γ = 90.00°
Space group P4mm (No. 99)
Symmetry-distinct sites (fractional):
1 P 0.000 0.000 0.000 [1 per cell]
2 Pt 0.000 0.000 0.520 [1 per cell]
3 Pt 0.500 0.500 0.231 [1 per cell]
4 Rh 0.500 0.500 0.809 [1 per cell]

No. 12
Compound: PPtRh
Source: Alexandria
Functional: PBE-GGA
Structure: optimized geometry

Calculated values
Density of states at the Fermi level   0.6 states/eV per cell
Calculated density   12.15 g cm⁻³
Formation energy   -10.73 kcal/mol of atoms

a = 3.7634 Å, b = 3.7634 Å, c = 3.6660 Å
α = 90.00°, β = 90.00°, γ = 120.00°
Space group P3m1 (No. 156)
Symmetry-distinct sites (fractional):
1 P 0.0000 0.0000 0.0000 [1 per cell]
2 Pt 0.6667 0.3333 0.2836 [1 per cell]
3 Rh 0.3333 0.6667 0.7765 [1 per cell]